[1]
MgTe2W | GGA-PBE | relaxed

Lattice parameters (Å, degrees): 5.5097 3.6000 4.4927 90.05 90.00 90.00
Atoms (fractional coordinates):
W: 0.0000 0.3748 0.4673
Te: 0.0000 0.8785 0.9590
Mg: 0.5000 0.8730 0.7755
Te: 0.5000 0.3737 0.2982

Properties
As for the symmetry: Pm. The calculated total energy comes out at -4.856 eV/atom.

***

[2]
CsIr3Rh | GGA-PBE | relaxed

Lattice parameters (Å, degrees): 4.9237 4.9237 4.9237 90.00 90.00 90.00
Atoms (fractional coordinates):
Ir: 0.0000 0.5000 0.0000
Cs: 0.0000 0.0000 0.0000
Ir: 0.5000 0.0000 0.0000
Rh: 0.5000 0.5000 0.5000
Ir: 0.0000 0.0000 0.5000

Properties
As for the symmetry: Pm-3m. The calculated total energy comes out at -3.590 eV/atom.

***

[3]
ZrTl2ZnBr | GGA-PBE | relaxed

Lattice parameters (Å, degrees): 5.2096 5.3570 5.2096 90.00 90.00 90.00
Atoms (fractional coordinates):
Zr: 0.0000 0.5000 0.0000
Tl: 0.0000 0.0000 0.5000
Zn: 0.0000 0.0000 0.0000
Tl: 0.5000 0.0000 0.0000
Br: 0.5000 0.5000 0.5000

Properties
As for the symmetry: P4/mmm. The calculated total energy comes out at -2.846 eV/atom.

***

[4]
SiIN2O | GGA-PBE | relaxed

Lattice parameters (Å, degrees): 4.0924 4.0924 4.0145 90.00 90.00 90.00
Atoms (fractional coordinates):
O: 0.0000 0.0000 0.5000
N: 0.5000 0.0000 0.0000
N: 0.0000 0.5000 0.0000
I: 0.0000 0.0000 0.0000
Si: 0.5000 0.5000 0.5000

Properties
As for the symmetry: P4/mmm. The calculated total energy comes out at -4.119 eV/atom.

***

[5]
SrCdNi2 | GGA-PBE | relaxed

Lattice parameters (Å, degrees): 4.6238 4.6238 3.5368 90.03 90.03 90.04
Atoms (fractional coordinates):
Cd: 0.0000 0.5000 0.5000
Ni: 0.0000 0.0000 0.0000
Sr: 0.5000 0.0000 0.5000
Ni: 0.5000 0.5000 0.0000

Properties
As for the symmetry: P4/mmm. The calculated total energy comes out at -3.308 eV/atom.

***

[6]
Pr4CdPt | GGA-PBE | relaxed

Lattice parameters (Å, degrees): 7.3207 7.5354 7.4913 90.00 94.46 90.00
Atoms (fractional coordinates):
Pr: 0.6169 0.1455 0.8327
Pr: 0.8181 0.1637 0.3518
Pr: 0.1169 0.3545 0.8327
Pr: 0.3181 0.3363 0.3518
Pr: 0.3831 0.8545 0.1673
Pr: 0.6819 0.6637 0.6482
Pt: 0.5000 0.0000 0.5000
Cd: 0.0000 0.0000 0.0000
Pt: 0.0000 0.5000 0.5000
Cd: 0.5000 0.5000 0.0000
Pr: 0.1819 0.8363 0.6482
Pr: 0.8831 0.6455 0.1673

Properties
As for the symmetry: P2_1/c. The calculation puts the energy above the most stable polymorph in this dataset at 216 meV per atom. The calculated total energy comes out at -4.659 eV/atom.

***

[7]
TbCeSm6Tm2 | GGA-PBE | relaxed

Lattice parameters (Å, degrees): 8.8417 6.9175 6.6346 121.42 102.22 90.00
Atoms (fractional coordinates):
Sm: 0.8001 0.9346 0.3414
Sm: 0.4178 0.6280 0.2561
Ce: 0.0000 0.5000 0.0000
Sm: 0.8001 0.4068 0.3414
Tb: 0.5000 0.0000 0.0000
Sm: 0.1999 0.0654 0.6586
Tm: 0.1656 0.0900 0.1799
Sm: 0.1999 0.5932 0.6586
Sm: 0.5822 0.3720 0.7439
Tm: 0.8344 0.9100 0.8201

Properties
As for the symmetry: C2/m. The calculated total energy comes out at -4.535 eV/atom.

***

[8]
La2TbSb3 | GGA-PBE | relaxed

Lattice parameters (Å, degrees): 7.8893 7.8893 7.8809 99.60 99.60 120.01
Atoms (fractional coordinates):
Sb: 0.5935 0.9268 0.7599
La: 0.3333 0.6667 0.0000
Tb: 0.0008 0.9992 0.0000
La: 0.1688 0.8312 0.5000
La: 0.8333 0.1667 0.5000
Sb: 0.0732 0.4065 0.2401
Tb: 0.6659 0.3341 0.0000
Sb: 0.7543 0.7477 0.2427
Sb: 0.9124 0.5856 0.7573
La: 0.4978 0.5022 0.5000
Sb: 0.2523 0.2457 0.7573
Sb: 0.4144 0.0876 0.2427

Properties
As for the symmetry: C2/m. The calculation puts the energy above the most stable polymorph in this dataset at 0 meV per atom. The calculated total energy comes out at -5.702 eV/atom.

***

[9]
Te2POs | GGA-PBE | relaxed

Lattice parameters (Å, degrees): 4.8942 4.8942 3.2312 90.00 90.00 90.00
Atoms (fractional coordinates):
P: 0.0000 0.0000 0.5000
Os: 0.5000 0.5000 0.5000
Te: 0.5000 0.0000 0.0000
Te: 0.0000 0.5000 0.0000

Properties
As for the symmetry: P4/mmm. The calculation puts the energy above the most stable polymorph in this dataset at 792 meV per atom. The calculated total energy comes out at -4.841 eV/atom.

***

[10]
RbAlSn | GGA-PBE | relaxed

Lattice parameters (Å, degrees): 6.8283 5.5657 7.0150 91.00 64.56 66.41
Atoms (fractional coordinates):
Sn: 0.4705 0.8930 0.1095
Sn: 0.0246 0.0487 0.5410
Rb: 0.2963 0.4617 0.8450
Rb: 0.8471 0.1931 0.1130
Al: 0.7798 0.6868 0.6612
Al: 0.5030 0.8477 0.4704

Properties
As for the symmetry: P1. The calculated total energy comes out at -2.809 eV/atom.

***

[11]
Tl2CuAs | GGA-PBE | relaxed

Lattice parameters (Å, degrees): 7.3102 7.3102 7.3102 151.45 145.77 45.15
Atoms (fractional coordinates):
Tl: 0.7390 0.2390 0.5000
As: 0.4228 0.4228 0.0000
Cu: 0.3081 0.8081 0.5000
Tl: 0.0302 0.0302 0.0000

Properties
As for the symmetry: Imm2. The calculation puts the energy above the most stable polymorph in this dataset at 182 meV per atom. The calculated total energy comes out at -3.217 eV/atom.

***

[12]
TaTlHg2 | GGA-PBE | relaxed

Lattice parameters (Å, degrees): 6.3145 6.3145 6.3145 151.32 130.63 58.10
Atoms (fractional coordinates):
Hg: 0.7267 0.2267 0.5000
Ta: 0.5060 0.5060 0.0000
Hg: 0.9950 0.9950 0.0000
Tl: 0.2723 0.7723 0.5000

Properties
As for the symmetry: Imm2. The calculated total energy comes out at -3.169 eV/atom.

***

| no. | ρ (g/cm³) |
| --- | --- |
| 1 | 8.634 |
| 2 | 11.303 |
| 3 | 7.370 |
| 4 | 4.915 |
| 5 | 6.971 |
| 6 | 7.022 |
| 7 | 7.618 |
| 8 | 6.652 |
| 9 | 10.221 |
| 10 | 3.575 |
| 11 | 8.679 |
| 12 | 14.342 |